# 1
Density functional theory data (PBE-GGA) for a relaxed In2RuW crystal.

* energy of formation: 0.4104 eV/atom
* crystal system: orthorhombic
* SG: Imm2 (44)
* ΔE to the lowest computed polymorph: 218 meV/atom

extended XYZ file:
```
4
Lattice="6.171 0.032 -0.007 3.639 4.983 0.007 -4.337 -3.619 2.485" Properties=species:S:1:pos:R:3 pbc="T T T"
In 0.154 0.079 0.000
In 3.035 -0.711 1.239
Ru 4.711 2.408 0.000
W 2.478 2.127 1.246
```

=====

# 2
Density functional theory data (PBE-GGA) for a relaxed Sc2SnPt8 crystal.

* energy of formation: -0.6945 eV/atom
* crystal system: orthorhombic
* SG: Immm (71)

extended XYZ file:
```
11
Lattice="-3.224 3.229 0.378 -4.163 -4.119 -0.331 3.819 -0.257 7.041" Properties=species:S:1:pos:R:3 pbc="T T T"
Sc -1.537 1.181 4.531
Sc -2.032 -2.328 2.556
Sn -1.612 1.614 0.189
Pt -0.876 -1.456 4.962
Pt -4.627 -1.606 1.978
Pt -3.612 -0.893 4.553
Pt -0.512 1.878 7.330
Pt 0.043 -0.254 2.535
Pt 1.058 0.459 5.110
Pt -2.693 0.309 2.125
Pt -3.057 -3.025 -0.242
```

=====

# 3
Density functional theory data (PBE-GGA) for a relaxed Nd6SbTe2As3 crystal.

* raw formation energy: -1.4823 eV/atom
* crystal system: monoclinic
* SG: C2/m (12)

extended XYZ file:
```
12
Lattice="-0.322 1.082 -4.214 -8.731 1.080 0.945 3.864 8.122 4.049" Properties=species:S:1:pos:R:3 pbc="T T T"
Nd -5.694 6.722 2.161
Nd -4.213 3.955 -0.921
Nd 0.506 3.563 -1.382
Nd 1.254 9.394 0.058
Nd -6.443 0.891 0.721
Nd -0.975 6.329 1.700
Sb -0.161 0.541 -2.107
Te -3.498 7.015 -0.190
Te -1.691 3.270 0.969
As -4.526 1.081 -1.635
As 0.851 6.484 -0.658
As -6.039 3.800 1.437
```

=====

# 4
Density functional theory data (PBE-GGA) for a relaxed Li3InF crystal.

* raw formation energy: -0.1362 eV/atom
* crystal system: cubic
* SG: Pm-3m (221)
* ΔE to the lowest computed polymorph: 1047 meV/atom

extended XYZ file:
```
5
Lattice="-1.795 4.945 0.975 -5.040 -1.745 -0.428 -0.077 -1.062 5.243" Properties=species:S:1:pos:R:3 pbc="T T T"
F -3.456 1.069 2.895
Li -2.520 -0.872 -0.214
Li -0.039 -0.531 2.622
Li -0.897 2.473 0.488
In 0.000 0.000 0.000
```

=====

# 5
Density functional theory data (PBE-GGA) for a relaxed NaInSe2N crystal.

* raw formation energy: 0.4026 eV/atom
* crystal system: tetragonal
* SG: P4/mmm (123)
* ΔE to the lowest computed polymorph: 0 meV/atom

extended XYZ file:
```
5
Lattice="5.487 0.000 0.000 0.000 5.487 0.000 0.000 0.000 4.264" Properties=species:S:1:pos:R:3 pbc="T T T"
Na 2.743 2.743 2.132
N 0.000 0.000 2.132
Se 0.000 2.743 0.000
Se 2.743 0.000 0.000
In 0.000 0.000 0.000
```

=====

# 6
Density functional theory data (PBE-GGA) for a relaxed As2IrSeO crystal.

* raw formation energy: 0.5367 eV/atom
* crystal system: tetragonal
* SG: P4/mmm (123)
* ΔE to the lowest computed polymorph: 0 meV/atom

extended XYZ file:
```
5
Lattice="-2.041 -2.763 -2.385 3.351 -0.334 -2.480 1.603 -3.454 2.630" Properties=species:S:1:pos:R:3 pbc="T T T"
As 1.675 -0.167 -1.240
As -1.020 -1.382 -1.193
Ir 1.456 -3.275 -1.118
O 0.000 0.000 0.000
Se 0.801 -1.727 1.315
```